# 1
Compound: SnBiP2
Source: Alexandria via LeMat-Bulk
Functional: PBE
Structure: optimized geometry Values from VASP.

```
&SYSTEM
  ibrav = 0, nat = 8, ntyp = 3
/
ATOMIC_SPECIES
Sn 118.71 Sn.upf
Bi 208.98 Bi.upf
P 30.97 P.upf
CELL_PARAMETERS angstrom
-3.4511 3.4511 4.7202
3.4511 -3.4511 4.7202
3.4511 3.4511 -4.7202
ATOMIC_POSITIONS crystal
Sn 0.0000 0.0000 0.0000
Sn 0.7500 0.2500 0.5000
Bi 0.2500 0.7500 0.5000
Bi 0.5000 0.5000 0.0000
P 0.0996 0.1250 0.4746
P 0.3750 0.9004 0.0254
P 0.6504 0.6250 0.5254
P 0.8750 0.3496 0.9746
```

Properties
The calculation puts the total magnetization at 0.00 μB per cell. Its space group is I-42d. The formation enthalpy at 0 K is 244 meV per atom. As for the energy: -4.43 eV/atom. Its crystal system is tetragonal.


# 2
Compound: Th4SnBi2P
Source: Alexandria via LeMat-Bulk
Functional: PBE
Structure: optimized geometry Values from VASP.

```
&SYSTEM
  ibrav = 0, nat = 8, ntyp = 4
/
ATOMIC_SPECIES
Th 232.04 Th.upf
Sn 118.71 Sn.upf
Bi 208.98 Bi.upf
P 30.97 P.upf
CELL_PARAMETERS angstrom
7.7005 0.0000 0.0000
0.0000 4.4104 0.0000
-2.5308 0.0000 7.4447
ATOMIC_POSITIONS crystal
Th 0.2230 0.0000 0.2161
Th 0.2407 0.5000 0.7729
Th 0.7593 0.5000 0.2271
Th 0.7770 0.0000 0.7839
Sn 0.5000 0.0000 0.0000
Bi 0.0000 0.0000 0.5000
Bi 0.5000 0.5000 0.5000
P 0.0000 0.5000 0.0000
```

Properties
The calculation puts the total magnetization at 0.00 μB per cell. Its space group is P2/m. The formation enthalpy at 0 K is -784 meV per atom. As for the energy: -6.64 eV/atom. Its crystal system is monoclinic.


# 3
Compound: Sr2BiP
Source: Alexandria via LeMat-Bulk
Functional: PBE
Structure: optimized geometry Values from VASP.

```
&SYSTEM
  ibrav = 0, nat = 8, ntyp = 3
/
ATOMIC_SPECIES
Sr 87.62 Sr.upf
Bi 208.98 Bi.upf
P 30.97 P.upf
CELL_PARAMETERS angstrom
-4.3599 4.3599 3.4676
4.3599 -4.3599 3.4676
4.3599 4.3599 -3.4676
ATOMIC_POSITIONS crystal
Sr 0.0784 0.1250 0.4534
Sr 0.3750 0.9216 0.0466
Sr 0.6716 0.6250 0.5466
Sr 0.8750 0.3284 0.9534
Bi 0.2500 0.7500 0.5000
Bi 0.5000 0.5000 0.0000
P 0.0000 0.0000 0.0000
P 0.7500 0.2500 0.5000
```

Properties
The calculation puts the total magnetization at 0.00 μB per cell. Its space group is I-42d. The formation enthalpy at 0 K is -616 meV per atom. As for the energy: -3.78 eV/atom. Its crystal system is tetragonal.


# 4
Compound: Sr4Bi2P
Source: Alexandria via LeMat-Bulk
Functional: PBE
Structure: optimized geometry Values from VASP.

```
&SYSTEM
  ibrav = 0, nat = 7, ntyp = 3
/
ATOMIC_SPECIES
Sr 87.62 Sr.upf
Bi 208.98 Bi.upf
P 30.97 P.upf
CELL_PARAMETERS angstrom
-2.8270 2.8270 8.7122
2.8270 -2.8270 8.7122
2.8270 2.8270 -8.7122
ATOMIC_POSITIONS crystal
Sr 0.0000 0.5000 0.5000
Sr 0.1728 0.1728 0.0000
Sr 0.5000 0.0000 0.5000
Sr 0.8272 0.8272 0.0000
Bi 0.3669 0.3669 0.0000
Bi 0.6331 0.6331 0.0000
P 0.0000 0.0000 0.0000
```

Properties
The calculation puts the total magnetization at 0.00 μB per cell. Its space group is I4/mmm. The formation enthalpy at 0 K is -848 meV per atom. As for the energy: -3.69 eV/atom. Its crystal system is tetragonal.


# 5
Compound: SrBi3P
Source: Alexandria via LeMat-Bulk
Functional: PBE
Structure: optimized geometry Values from VASP.

```
&SYSTEM
  ibrav = 0, nat = 5, ntyp = 3
/
ATOMIC_SPECIES
Sr 87.62 Sr.upf
Bi 208.98 Bi.upf
P 30.97 P.upf
CELL_PARAMETERS angstrom
5.5362 0.0000 0.0000
0.0000 5.5362 0.0000
0.0000 0.0000 5.5362
ATOMIC_POSITIONS crystal
Sr 0.0000 0.0000 0.0000
Bi 0.0000 0.5000 0.5000
Bi 0.5000 0.0000 0.5000
Bi 0.5000 0.5000 0.0000
P 0.5000 0.5000 0.5000
```

Properties
The calculation puts the total magnetization at 0.00 μB per cell. Its space group is Pm-3m. The formation enthalpy at 0 K is 7 meV per atom. As for the energy: -3.74 eV/atom. Its crystal system is cubic.


# 6
Compound: Sr4BiP
Source: Alexandria via LeMat-Bulk
Functional: PBE
Structure: optimized geometry Values from VASP.

```
&SYSTEM
  ibrav = 0, nat = 6, ntyp = 3
/
ATOMIC_SPECIES
Sr 87.62 Sr.upf
Bi 208.98 Bi.upf
P 30.97 P.upf
CELL_PARAMETERS angstrom
5.3752 0.0000 0.0000
0.0000 5.3752 0.0000
0.0000 0.0000 7.7714
ATOMIC_POSITIONS crystal
Sr 0.0000 0.5000 0.2271
Sr 0.0000 0.5000 0.7729
Sr 0.5000 0.0000 0.2271
Sr 0.5000 0.0000 0.7729
Bi 0.0000 0.0000 0.5000
P 0.5000 0.5000 0.0000
```

Properties
The calculation puts the total magnetization at 0.00 μB per cell. Its space group is P4/mmm. The formation enthalpy at 0 K is -729 meV per atom. As for the energy: -3.40 eV/atom. Its crystal system is tetragonal.


# 7
Compound: Sr3BiP
Source: Alexandria via LeMat-Bulk
Functional: PBE
Structure: optimized geometry Values from VASP.

```
&SYSTEM
  ibrav = 0, nat = 10, ntyp = 3
/
ATOMIC_SPECIES
Sr 87.62 Sr.upf
Bi 208.98 Bi.upf
P 30.97 P.upf
CELL_PARAMETERS angstrom
4.0097 2.3150 7.5975
-4.0097 2.3150 7.5975
0.0000 -4.6300 7.5975
ATOMIC_POSITIONS crystal
Sr 0.0141 0.4929 0.4929
Sr 0.2940 0.2940 0.8398
Sr 0.2940 0.8398 0.2940
Sr 0.4929 0.0141 0.4929
Sr 0.4929 0.4929 0.0141
Sr 0.8398 0.2940 0.2940
Bi 0.0189 0.0189 0.0189
Bi 0.7772 0.7772 0.7772
P 0.2391 0.2391 0.2391
P 0.4170 0.4170 0.4170
```

Properties
The calculation puts the total magnetization at 0.00 μB per cell. Its space group is R3m. The formation enthalpy at 0 K is -756 meV per atom. As for the energy: -3.62 eV/atom. Its crystal system is trigonal.


# 8
Compound: Sr3BiP
Source: Alexandria via LeMat-Bulk
Functional: PBE
Structure: optimized geometry Values from VASP.

```
&SYSTEM
  ibrav = 0, nat = 5, ntyp = 3
/
ATOMIC_SPECIES
Sr 87.62 Sr.upf
Bi 208.98 Bi.upf
P 30.97 P.upf
CELL_PARAMETERS angstrom
5.7759 0.0000 0.0000
0.0000 5.7759 0.0000
0.0000 0.0000 5.7759
ATOMIC_POSITIONS crystal
Sr 0.0000 0.0000 0.5000
Sr 0.0000 0.5000 0.0000
Sr 0.5000 0.0000 0.0000
Bi 0.5000 0.5000 0.5000
P 0.0000 0.0000 0.0000
```

Properties
The calculation puts the total magnetization at 0.00 μB per cell. Its space group is Pm-3m. The formation enthalpy at 0 K is -921 meV per atom. As for the energy: -3.79 eV/atom. Its crystal system is cubic.


# 9
Compound: Sr2BiP2
Source: Alexandria via LeMat-Bulk
Functional: PBE
Structure: optimized geometry Values from VASP.

```
&SYSTEM
  ibrav = 0, nat = 5, ntyp = 3
/
ATOMIC_SPECIES
Sr 87.62 Sr.upf
Bi 208.98 Bi.upf
P 30.97 P.upf
CELL_PARAMETERS angstrom
-1.9238 1.9238 9.3904
1.9238 -1.9238 9.3904
1.9238 1.9238 -9.3904
ATOMIC_POSITIONS crystal
Sr 0.1230 0.1230 0.0000
Sr 0.8770 0.8770 0.0000
Bi 0.5000 0.5000 0.0000
P 0.2500 0.7500 0.5000
P 0.7500 0.2500 0.5000
```

Properties
The calculation puts the total magnetization at 0.00 μB per cell. Its space group is I4/mmm. The formation enthalpy at 0 K is -609 meV per atom. As for the energy: -4.22 eV/atom. Its crystal system is tetragonal.


# 10
Compound: Sr12Bi3P5
Source: Alexandria via LeMat-Bulk
Functional: PBE
Structure: optimized geometry Values from VASP.

```
&SYSTEM
  ibrav = 0, nat = 80, ntyp = 3
/
ATOMIC_SPECIES
Sr 87.62 Sr.upf
Bi 208.98 Bi.upf
P 30.97 P.upf
CELL_PARAMETERS angstrom
-9.3343 9.3343 9.3343
9.3343 -9.3343 9.3343
9.3343 9.3343 -9.3343
ATOMIC_POSITIONS crystal
Sr 0.0323 0.2093 0.1244
Sr 0.0323 0.3230 0.9079
Sr 0.0849 0.7093 0.6770
Sr 0.0849 0.8756 0.4079
Sr 0.0921 0.6244 0.4151
Sr 0.0921 0.9677 0.6770
Sr 0.1244 0.0323 0.2093
Sr 0.1244 0.5921 0.9151
Sr 0.1770 0.2093 0.5849
Sr 0.1770 0.4677 0.5921
Sr 0.2093 0.1244 0.0323
Sr 0.2093 0.5849 0.1770
Sr 0.2907 0.3230 0.9151
Sr 0.2907 0.4677 0.3756
Sr 0.3230 0.9079 0.0323
Sr 0.3230 0.9151 0.2907
Sr 0.3756 0.2907 0.4677
Sr 0.3756 0.5849 0.9079
Sr 0.4079 0.0849 0.8756
Sr 0.4079 0.8230 0.5323
Sr 0.4151 0.0921 0.6244
Sr 0.4151 0.8230 0.7907
Sr 0.4677 0.3756 0.2907
Sr 0.4677 0.5921 0.1770
Sr 0.5323 0.4079 0.8230
Sr 0.5323 0.6244 0.7093
Sr 0.5849 0.1770 0.2093
Sr 0.5849 0.9079 0.3756
Sr 0.5921 0.1770 0.4677
Sr 0.5921 0.9151 0.1244
Sr 0.6244 0.4151 0.0921
Sr 0.6244 0.7093 0.5323
Sr 0.6770 0.0849 0.7093
Sr 0.6770 0.0921 0.9677
Sr 0.7093 0.5323 0.6244
Sr 0.7093 0.6770 0.0849
Sr 0.7907 0.4151 0.8230
Sr 0.7907 0.8756 0.9677
Sr 0.8230 0.5323 0.4079
Sr 0.8230 0.7907 0.4151
Sr 0.8756 0.4079 0.0849
Sr 0.8756 0.9677 0.7907
Sr 0.9079 0.0323 0.3230
Sr 0.9079 0.3756 0.5849
Sr 0.9151 0.1244 0.5921
Sr 0.9151 0.2907 0.3230
Sr 0.9677 0.6770 0.0921
Sr 0.9677 0.7907 0.8756
Bi 0.1250 0.2500 0.3750
Bi 0.1250 0.3750 0.7500
Bi 0.2500 0.3750 0.1250
Bi 0.2500 0.8750 0.6250
Bi 0.3750 0.1250 0.2500
Bi 0.3750 0.7500 0.1250
Bi 0.6250 0.2500 0.8750
Bi 0.6250 0.8750 0.7500
Bi 0.7500 0.1250 0.3750
Bi 0.7500 0.6250 0.8750
Bi 0.8750 0.6250 0.2500
Bi 0.8750 0.7500 0.6250
P 0.0000 0.0000 0.0000
P 0.0000 0.0000 0.5000
P 0.0000 0.5000 0.0000
P 0.0000 0.5000 0.5000
P 0.1250 0.7500 0.8750
P 0.1250 0.8750 0.2500
P 0.2500 0.1250 0.8750
P 0.2500 0.6250 0.3750
P 0.3750 0.2500 0.6250
P 0.3750 0.6250 0.7500
P 0.5000 0.0000 0.0000
P 0.5000 0.0000 0.5000
P 0.5000 0.5000 0.0000
P 0.5000 0.5000 0.5000
P 0.6250 0.3750 0.2500
P 0.6250 0.7500 0.3750
P 0.7500 0.3750 0.6250
P 0.7500 0.8750 0.1250
P 0.8750 0.1250 0.7500
P 0.8750 0.2500 0.1250
```

Properties
The calculation puts the total magnetization at 0.00 μB per cell. Its space group is Ia-3d. The formation enthalpy at 0 K is -889 meV per atom. As for the energy: -3.83 eV/atom. Its crystal system is cubic.


# 11
Compound: SrBi3P
Source: Alexandria via LeMat-Bulk
Functional: PBE
Structure: optimized geometry Values from VASP.

```
&SYSTEM
  ibrav = 0, nat = 5, ntyp = 3
/
ATOMIC_SPECIES
Sr 87.62 Sr.upf
Bi 208.98 Bi.upf
P 30.97 P.upf
CELL_PARAMETERS angstrom
6.1582 0.0000 0.0000
0.0000 6.1582 0.0000
0.0000 0.0000 6.1582
ATOMIC_POSITIONS crystal
Sr 0.0000 0.0000 0.0000
Bi 0.0000 0.0000 0.5000
Bi 0.0000 0.5000 0.0000
Bi 0.5000 0.0000 0.0000
P 0.5000 0.5000 0.5000
```

Properties
The calculation puts the total magnetization at 2.21 μB per cell. Its space group is Pm-3m. The formation enthalpy at 0 K is 1223 meV per atom. As for the energy: -2.52 eV/atom. Its crystal system is cubic.


# 12
Compound: Sr2BiP
Source: Alexandria via LeMat-Bulk
Functional: PBE
Structure: optimized geometry Values from VASP.

```
&SYSTEM
  ibrav = 0, nat = 4, ntyp = 3
/
ATOMIC_SPECIES
Sr 87.62 Sr.upf
Bi 208.98 Bi.upf
P 30.97 P.upf
CELL_PARAMETERS angstrom
2.1616 1.2480 10.1045
-2.1616 1.2480 10.1045
0.0000 -2.4960 10.1045
ATOMIC_POSITIONS crystal
Sr 0.1143 0.1143 0.1143
Sr 0.8857 0.8857 0.8857
Bi 0.0000 0.0000 0.0000
P 0.5000 0.5000 0.5000
```

Properties
The calculation puts the total magnetization at 0.00 μB per cell. Its space group is R-3m. The formation enthalpy at 0 K is -610 meV per atom. As for the energy: -3.77 eV/atom. Its crystal system is trigonal.